CdIn2Os: optimized geometry, PBE.

formation energy from the elements	0.55	eV per atom
magnetic moment	0.20	μB/atom

The structure in CIF format:
```
data_CdIn2Os
_cell_length_a 3.032
_cell_length_b 4.952
_cell_length_c 5.376
_cell_angle_alpha 90.00
_cell_angle_beta 91.21
_cell_angle_gamma 90.00
_symmetry_space_group_name_H-M 'P 1'
_symmetry_Int_Tables_number 1
loop_
_symmetry_equiv_pos_as_xyz
'x,y,z'
loop_
_atom_site_label
_atom_site_type_symbol
_atom_site_fract_x
_atom_site_fract_y
_atom_site_fract_z
Cd1 Cd 0.000 0.000 0.000
In1 In 0.258 0.500 0.260
In2 In 0.742 0.500 0.740
Os1 Os 0.500 0.000 0.500
```